# YBeFeAs (PBE, optimized geometry)
# - Energy above the most stable polymorph in this dataset: 35 kJ/mol of formula units
# - VASP energy: -5.68 eV per atom
# - SG: F-43m, No. 216
data_YBeFeAs
_chemical_formula_sum 'Y4 Be4 Fe4 As4'
_cell_length_a 6.156
_cell_length_b 6.156
_cell_length_c 6.156
_cell_angle_alpha 90.00
_cell_angle_beta 90.00
_cell_angle_gamma 90.00
_space_group_name_H-M_alt 'P 1'
_space_group_IT_number 1
loop_
_space_group_symop_operation_xyz
'x,y,z'
loop_
_atom_site_label
_atom_site_type_symbol
_atom_site_fract_x
_atom_site_fract_y
_atom_site_fract_z
_atom_site_occupancy
Y1 Y 0.000 0.000 0.000 1
Y2 Y 0.000 0.500 0.500 1
Y3 Y 0.500 0.000 0.500 1
Y4 Y 0.500 0.500 0.000 1
Be1 Be 0.250 0.250 0.250 1
Be2 Be 0.250 0.750 0.750 1
Be3 Be 0.750 0.250 0.750 1
Be4 Be 0.750 0.750 0.250 1
Fe1 Fe 0.250 0.250 0.750 1
Fe2 Fe 0.250 0.750 0.250 1
Fe3 Fe 0.750 0.250 0.250 1
Fe4 Fe 0.750 0.750 0.750 1
As1 As 0.000 0.000 0.500 1
As2 As 0.000 0.500 0.000 1
As3 As 0.500 0.000 0.000 1
As4 As 0.500 0.500 0.500 1

# YBeFeAs (PBE, optimized geometry)
# - Energy above the most stable polymorph in this dataset: 68 kJ/mol of formula units
# - VASP energy: -5.59 eV per atom
# - SG: F-43m, No. 216
data_YBeFeAs
_chemical_formula_sum 'Y4 Be4 Fe4 As4'
_cell_length_a 6.436
_cell_length_b 6.436
_cell_length_c 6.436
_cell_angle_alpha 90.00
_cell_angle_beta 90.00
_cell_angle_gamma 90.00
_space_group_name_H-M_alt 'P 1'
_space_group_IT_number 1
loop_
_space_group_symop_operation_xyz
'x,y,z'
loop_
_atom_site_label
_atom_site_type_symbol
_atom_site_fract_x
_atom_site_fract_y
_atom_site_fract_z
_atom_site_occupancy
Y1 Y 0.000 0.000 0.000 1
Y2 Y 0.000 0.500 0.500 1
Y3 Y 0.500 0.000 0.500 1
Y4 Y 0.500 0.500 0.000 1
Be1 Be 0.000 0.000 0.500 1
Be2 Be 0.000 0.500 0.000 1
Be3 Be 0.500 0.000 0.000 1
Be4 Be 0.500 0.500 0.500 1
Fe1 Fe 0.250 0.250 0.750 1
Fe2 Fe 0.250 0.750 0.250 1
Fe3 Fe 0.750 0.250 0.250 1
Fe4 Fe 0.750 0.750 0.750 1
As1 As 0.250 0.250 0.250 1
As2 As 0.250 0.750 0.750 1
As3 As 0.750 0.250 0.750 1
As4 As 0.750 0.750 0.250 1

# YBeFeAs (PBE, optimized geometry)
# - Energy above the most stable polymorph in this dataset: 0 kJ/mol of formula units
# - VASP energy: -5.77 eV per atom
# - SG: F-43m, No. 216
data_YBeFeAs
_chemical_formula_sum 'Y4 Be4 Fe4 As4'
_cell_length_a 6.256
_cell_length_b 6.256
_cell_length_c 6.256
_cell_angle_alpha 90.00
_cell_angle_beta 90.00
_cell_angle_gamma 90.00
_space_group_name_H-M_alt 'P 1'
_space_group_IT_number 1
loop_
_space_group_symop_operation_xyz
'x,y,z'
loop_
_atom_site_label
_atom_site_type_symbol
_atom_site_fract_x
_atom_site_fract_y
_atom_site_fract_z
_atom_site_occupancy
Y1 Y 0.000 0.000 0.000 1
Y2 Y 0.000 0.500 0.500 1
Y3 Y 0.500 0.000 0.500 1
Y4 Y 0.500 0.500 0.000 1
Be1 Be 0.250 0.250 0.750 1
Be2 Be 0.250 0.750 0.250 1
Be3 Be 0.750 0.250 0.250 1
Be4 Be 0.750 0.750 0.750 1
Fe1 Fe 0.000 0.000 0.500 1
Fe2 Fe 0.000 0.500 0.000 1
Fe3 Fe 0.500 0.000 0.000 1
Fe4 Fe 0.500 0.500 0.500 1
As1 As 0.250 0.250 0.250 1
As2 As 0.250 0.750 0.750 1
As3 As 0.750 0.250 0.750 1
As4 As 0.750 0.750 0.250 1

# BeZnFeAs (PBE, optimized geometry)
# - Energy above the most stable polymorph in this dataset: 54 kJ/mol of formula units
# - VASP energy: -4.00 eV per atom
# - SG: F-43m, No. 216
data_BeZnFeAs
_chemical_formula_sum 'Be4 Zn4 Fe4 As4'
_cell_length_a 5.910
_cell_length_b 5.910
_cell_length_c 5.910
_cell_angle_alpha 90.00
_cell_angle_beta 90.00
_cell_angle_gamma 90.00
_space_group_name_H-M_alt 'P 1'
_space_group_IT_number 1
loop_
_space_group_symop_operation_xyz
'x,y,z'
loop_
_atom_site_label
_atom_site_type_symbol
_atom_site_fract_x
_atom_site_fract_y
_atom_site_fract_z
_atom_site_occupancy
Be1 Be 0.000 0.000 0.000 1
Be2 Be 0.000 0.500 0.500 1
Be3 Be 0.500 0.000 0.500 1
Be4 Be 0.500 0.500 0.000 1
Zn1 Zn 0.000 0.000 0.500 1
Zn2 Zn 0.000 0.500 0.000 1
Zn3 Zn 0.500 0.000 0.000 1
Zn4 Zn 0.500 0.500 0.500 1
Fe1 Fe 0.250 0.250 0.750 1
Fe2 Fe 0.250 0.750 0.250 1
Fe3 Fe 0.750 0.250 0.250 1
Fe4 Fe 0.750 0.750 0.750 1
As1 As 0.250 0.250 0.250 1
As2 As 0.250 0.750 0.750 1
As3 As 0.750 0.250 0.750 1
As4 As 0.750 0.750 0.250 1

# BeZnFeAs (PBE, optimized geometry)
# - Energy above the most stable polymorph in this dataset: 10 kJ/mol of formula units
# - VASP energy: -4.11 eV per atom
# - SG: F-43m, No. 216
data_BeZnFeAs
_chemical_formula_sum 'Be4 Zn4 Fe4 As4'
_cell_length_a 5.815
_cell_length_b 5.815
_cell_length_c 5.815
_cell_angle_alpha 90.00
_cell_angle_beta 90.00
_cell_angle_gamma 90.00
_space_group_name_H-M_alt 'P 1'
_space_group_IT_number 1
loop_
_space_group_symop_operation_xyz
'x,y,z'
loop_
_atom_site_label
_atom_site_type_symbol
_atom_site_fract_x
_atom_site_fract_y
_atom_site_fract_z
_atom_site_occupancy
Be1 Be 0.000 0.000 0.000 1
Be2 Be 0.000 0.500 0.500 1
Be3 Be 0.500 0.000 0.500 1
Be4 Be 0.500 0.500 0.000 1
Zn1 Zn 0.250 0.250 0.750 1
Zn2 Zn 0.250 0.750 0.250 1
Zn3 Zn 0.750 0.250 0.250 1
Zn4 Zn 0.750 0.750 0.750 1
Fe1 Fe 0.250 0.250 0.250 1
Fe2 Fe 0.250 0.750 0.750 1
Fe3 Fe 0.750 0.250 0.750 1
Fe4 Fe 0.750 0.750 0.250 1
As1 As 0.000 0.000 0.500 1
As2 As 0.000 0.500 0.000 1
As3 As 0.500 0.000 0.000 1
As4 As 0.500 0.500 0.500 1

# BeZnFeAs (PBE, optimized geometry)
# - Energy above the most stable polymorph in this dataset: 0 kJ/mol of formula units
# - VASP energy: -4.14 eV per atom
# - SG: F-43m, No. 216
data_BeZnFeAs
_chemical_formula_sum 'Be4 Zn4 Fe4 As4'
_cell_length_a 5.808
_cell_length_b 5.808
_cell_length_c 5.808
_cell_angle_alpha 90.00
_cell_angle_beta 90.00
_cell_angle_gamma 90.00
_space_group_name_H-M_alt 'P 1'
_space_group_IT_number 1
loop_
_space_group_symop_operation_xyz
'x,y,z'
loop_
_atom_site_label
_atom_site_type_symbol
_atom_site_fract_x
_atom_site_fract_y
_atom_site_fract_z
_atom_site_occupancy
Be1 Be 0.000 0.000 0.000 1
Be2 Be 0.000 0.500 0.500 1
Be3 Be 0.500 0.000 0.500 1
Be4 Be 0.500 0.500 0.000 1
Zn1 Zn 0.250 0.250 0.250 1
Zn2 Zn 0.250 0.750 0.750 1
Zn3 Zn 0.750 0.250 0.750 1
Zn4 Zn 0.750 0.750 0.250 1
Fe1 Fe 0.000 0.000 0.500 1
Fe2 Fe 0.000 0.500 0.000 1
Fe3 Fe 0.500 0.000 0.000 1
Fe4 Fe 0.500 0.500 0.500 1
As1 As 0.250 0.250 0.750 1
As2 As 0.250 0.750 0.250 1
As3 As 0.750 0.250 0.250 1
As4 As 0.750 0.750 0.750 1